Below is PmMnF6 after structural relaxation, with properties calculated at the PBE+U level.

Unit cell a=5.062 b=5.062 c=8.188 alpha=90.00 beta=90.00 gamma=90.00
Site moments in Bohr magnetons follow the coordinates.
Element x y z (fractional)
Pm: 0.500 0.500 0.750  0.00
Pm: 0.500 0.500 0.250  0.00
Mn: 0.000 0.000 0.500  3.84
Mn: 0.000 0.000 0.000  3.84
F: 0.185 0.210 0.347  -0.01
F: 0.815 0.790 0.347  -0.01
F: 0.790 0.185 0.847  -0.01
F: 0.210 0.815 0.847  -0.01
F: 0.815 0.790 0.653  -0.01
F: 0.185 0.210 0.653  -0.01
F: 0.210 0.815 0.153  -0.01
F: 0.790 0.185 0.153  -0.01
F: 0.317 0.703 0.500  0.04
F: 0.683 0.297 0.500  0.04
F: 0.297 0.317 0.000  0.04
F: 0.703 0.683 0.000  0.04

Summary:
Space group: P4_2/m, No. 84
Total DFT energy (no corrections), eV per atom: -6.161